! SrPuO5, optimized geometry, DFT PBE; values from VASP
&SYSTEM
  ibrav = 0, nat = 14, ntyp = 3
/
ATOMIC_SPECIES
Sr 87.62 Sr.upf
Pu 244.00 Pu.upf
O 16.00 O.upf
ATOMIC_POSITIONS crystal
Sr 0.046 0.954 0.750
Sr 0.954 0.046 0.250
Pu 0.500 0.500 0.000
Pu 0.500 0.500 0.500
O 0.216 0.778 0.030
O 0.222 0.784 0.470
O 0.282 0.293 0.394
O 0.293 0.282 0.894
O 0.420 0.580 0.750
O 0.580 0.420 0.250
O 0.707 0.718 0.106
O 0.718 0.707 0.606
O 0.778 0.216 0.530
O 0.784 0.222 0.970
CELL_PARAMETERS angstrom
4.845 -3.391 0.000
4.845 3.391 0.000
-3.572 0.000 7.554
! calculated total energy: -114.75 eV per cell
! formation energy without anion corrections: -16.57 eV/f.u.
! SG: C2/c (15)

! FeMoRhBr2, optimized geometry, DFT PBE; values from VASP
&SYSTEM
  ibrav = 0, nat = 5, ntyp = 4
/
ATOMIC_SPECIES
Fe 55.84 Fe.upf
Mo 95.94 Mo.upf
Rh 102.91 Rh.upf
Br 79.90 Br.upf
ATOMIC_POSITIONS crystal
Fe 0.000 0.000 0.000
Mo 0.500 0.500 0.500
Rh 0.500 0.500 0.000
Br 0.000 0.500 0.500
Br 0.500 0.000 0.500
CELL_PARAMETERS angstrom
4.964 0.000 0.000
0.000 4.964 0.000
0.000 0.000 4.858
! calculated total energy: -24.38 eV per cell
! formation energy without anion corrections: 5.61 eV/f.u.
! Fermi-level density of states: 1.006 states/eV/atom
! SG: P4/mmm (123)

! ZrNiBr2, optimized geometry, DFT PBE; values from VASP
&SYSTEM
  ibrav = 0, nat = 4, ntyp = 3
/
ATOMIC_SPECIES
Zr 91.22 Zr.upf
Ni 58.69 Ni.upf
Br 79.90 Br.upf
ATOMIC_POSITIONS crystal
Zr 0.000 0.000 0.000
Ni 0.500 0.500 0.000
Br 0.140 0.640 0.500
Br 0.860 0.360 0.500
CELL_PARAMETERS angstrom
-1.729 2.027 7.682
1.729 -2.027 7.682
1.729 2.027 -7.682
! calculated total energy: -19.61 eV per cell
! formation energy without anion corrections: -1.94 eV/f.u.
! Fermi-level density of states: 0.660 states/eV/atom
! SG: Immm (71)

! LiTl2, optimized geometry, DFT PBE; values from VASP
&SYSTEM
  ibrav = 0, nat = 12, ntyp = 2
/
ATOMIC_SPECIES
Li 6.94 Li.upf
Tl 204.38 Tl.upf
ATOMIC_POSITIONS crystal
Li 0.333 0.667 0.078
Li 0.333 0.667 0.422
Li 0.667 0.333 0.578
Li 0.667 0.333 0.922
Tl 0.000 0.000 0.000
Tl 0.000 0.000 0.500
Tl 0.173 0.345 0.750
Tl 0.173 0.827 0.750
Tl 0.345 0.173 0.250
Tl 0.655 0.827 0.750
Tl 0.827 0.173 0.250
Tl 0.827 0.655 0.250
CELL_PARAMETERS angstrom
6.400 0.000 0.000
-3.200 5.543 0.000
0.000 0.000 10.004
! calculated total energy: -26.17 eV per cell
! DFT formation energy: 0.0349 eV/atom
! Fermi-level density of states: 0.199 states/eV/atom
! SG: P6_3/mmc (194)

! Re2WBr, optimized geometry, DFT PBE; values from VASP
&SYSTEM
  ibrav = 0, nat = 4, ntyp = 3
/
ATOMIC_SPECIES
Re 186.21 Re.upf
W 183.84 W.upf
Br 79.90 Br.upf
ATOMIC_POSITIONS crystal
Re 0.247 0.247 0.247
Re 0.753 0.753 0.753
W 0.500 0.500 0.500
Br 0.000 0.000 0.000
CELL_PARAMETERS angstrom
1.474 0.851 8.689
-1.474 0.851 8.689
0.000 -1.702 8.689
! calculated total energy: -36.90 eV per cell
! formation energy without anion corrections: 2.62 eV/f.u.
! Fermi-level density of states: 0.445 states/eV/atom
! SG: R-3m (166)

! TaSbRh4, optimized geometry, DFT PBE; values from VASP
&SYSTEM
  ibrav = 0, nat = 6, ntyp = 3
/
ATOMIC_SPECIES
Ta 180.95 Ta.upf
Sb 121.76 Sb.upf
Rh 102.91 Rh.upf
ATOMIC_POSITIONS crystal
Ta 0.000 0.000 0.000
Sb 0.250 0.250 0.250
Rh 0.124 0.625 0.625
Rh 0.625 0.124 0.625
Rh 0.625 0.625 0.124
Rh 0.625 0.625 0.625
CELL_PARAMETERS angstrom
0.000 3.661 3.661
3.661 0.000 3.661
3.661 3.661 0.000
! calculated total energy: -45.42 eV per cell
! formation energy without anion corrections: -0.04 eV/f.u.
! Fermi-level density of states: 1.366 states/eV/atom
! SG: F-43m (216)

! NaAcRh, optimized geometry, DFT PBE; values from VASP
&SYSTEM
  ibrav = 0, nat = 6, ntyp = 3
/
ATOMIC_SPECIES
Na 22.99 Na.upf
Ac 227.00 Ac.upf
Rh 102.91 Rh.upf
ATOMIC_POSITIONS crystal
Na 0.070 0.070 0.000
Na 0.930 0.930 0.000
Ac 0.307 0.307 0.000
Ac 0.693 0.693 0.000
Rh 0.185 0.185 0.000
Rh 0.815 0.815 0.000
CELL_PARAMETERS angstrom
-2.080 2.080 12.470
2.080 -2.080 12.470
2.080 2.080 -12.470
! calculated total energy: -27.25 eV per cell
! DFT formation energy: -0.2825 eV/atom
! Fermi-level density of states: 0.468 states/eV/atom
! SG: I4/mmm (139)

! SrLiPb3, optimized geometry, DFT PBE; values from VASP
&SYSTEM
  ibrav = 0, nat = 5, ntyp = 3
/
ATOMIC_SPECIES
Sr 87.62 Sr.upf
Li 6.94 Li.upf
Pb 207.20 Pb.upf
ATOMIC_POSITIONS crystal
Sr 0.000 0.000 0.000
Li 0.500 0.500 0.500
Pb 0.000 0.000 0.500
Pb 0.000 0.500 0.000
Pb 0.500 0.000 0.000
CELL_PARAMETERS angstrom
6.155 0.000 0.000
0.000 6.155 0.000
0.000 0.000 6.155
! calculated total energy: -11.70 eV per cell
! DFT formation energy: 0.6036 eV/atom
! Fermi-level density of states: 1.203 states/eV/atom
! SG: Pm-3m (221)

! AcCN2F, optimized geometry, DFT PBE; values from VASP
&SYSTEM
  ibrav = 0, nat = 10, ntyp = 4
/
ATOMIC_SPECIES
Ac 227.00 Ac.upf
C 12.01 C.upf
N 14.01 N.upf
F 19.00 F.upf
ATOMIC_POSITIONS crystal
Ac 0.188 0.250 0.296
Ac 0.812 0.750 0.704
C 0.333 0.250 0.816
C 0.667 0.750 0.184
N 0.150 0.250 0.892
N 0.492 0.750 0.271
N 0.508 0.250 0.729
N 0.850 0.750 0.108
F 0.163 0.750 0.524
F 0.837 0.250 0.476
CELL_PARAMETERS angstrom
5.506 0.000 0.000
0.000 4.159 0.000
-1.639 0.000 6.510
! calculated total energy: -80.89 eV per cell
! formation energy without anion corrections: -8.59 eV/f.u.
! Fermi-level density of states: 0.000 states/eV/atom
! SG: P2_1/m (11)

! Ni2IrOs, optimized geometry, DFT PBE; values from VASP
&SYSTEM
  ibrav = 0, nat = 4, ntyp = 3
/
ATOMIC_SPECIES
Ni 58.69 Ni.upf
Ir 192.22 Ir.upf
Os 190.23 Os.upf
ATOMIC_POSITIONS crystal
Ni 0.000 0.500 0.000
Ni 0.500 0.000 0.000
Ir 0.000 0.000 0.500
Os 0.500 0.500 0.500
CELL_PARAMETERS angstrom
2.638 -3.651 0.000
2.638 3.651 0.000
0.000 0.000 2.646
! calculated total energy: -31.10 eV per cell
! DFT formation energy: 0.1376 eV/atom
! Fermi-level density of states: 1.243 states/eV/atom
! SG: Cmmm (65)